# 1
First-principles (GGA-PBE) data for Ce2PPt6 after structural relaxation, as listed in Alexandria.

Values from the calculation:
* magnetic moment: 1.0 μB/f.u.
* space-group type: C2/m
* energy of formation: -0.920 eV/atom
* DFT total energy: -61.8 eV per cell

abc: 5.665 5.665 6.139
angles: 102.35 102.35 60.07
Fractional coordinates of all 9 atoms:
Ce1 0.140 0.140 0.348
Ce2 0.860 0.860 0.652
P1 0.500 0.500 0.500
Pt1 0.112 0.618 0.194
Pt2 0.377 0.377 0.795
Pt3 0.382 0.888 0.806
Pt4 0.618 0.112 0.194
Pt5 0.623 0.623 0.205
Pt6 0.888 0.382 0.806

=====

# 2
First-principles (GGA-PBE) data for TaCoW2 after structural relaxation, as listed in Alexandria.

Values from the calculation:
* offset from the most stable computed form: 0.301 eV per atom
* magnetic moment: 0.5 μB/f.u.
* space-group type: Cmmm
* energy of formation: 0.327 eV/atom
* DFT total energy: -87.1 eV per cell

abc: 5.352 8.611 2.712
angles: 90.00 90.00 90.00
Fractional coordinates of all 8 atoms:
Ta1 0.000 0.000 0.000
Ta2 0.500 0.500 0.000
Co1 0.000 0.500 0.000
Co2 0.500 0.000 0.000
W1 0.250 0.250 0.500
W2 0.250 0.750 0.500
W3 0.750 0.250 0.500
W4 0.750 0.750 0.500

=====

# 3
First-principles (GGA-PBE) data for Zn7CdAu12 after structural relaxation, as listed in Alexandria.

Values from the calculation:
* magnetic moment: 0.0 μB/f.u.
* space-group type: R-3
* energy of formation: -0.127 eV/atom
* DFT total energy: -51.7 eV per cell

abc: 7.606 7.606 7.606
angles: 107.98 107.98 107.98
Fractional coordinates of all 20 atoms:
Zn1 0.000 0.000 0.000
Zn2 0.071 0.192 0.474
Zn3 0.192 0.474 0.071
Zn4 0.474 0.071 0.192
Zn5 0.526 0.929 0.808
Zn6 0.808 0.526 0.929
Zn7 0.929 0.808 0.526
Cd1 0.500 0.500 0.500
Au1 0.119 0.861 0.274
Au2 0.139 0.726 0.881
Au3 0.184 0.619 0.495
Au4 0.274 0.119 0.861
Au5 0.381 0.505 0.816
Au6 0.495 0.184 0.619
Au7 0.505 0.816 0.381
Au8 0.619 0.495 0.184
Au9 0.726 0.881 0.139
Au10 0.816 0.381 0.505
Au11 0.861 0.274 0.119
Au12 0.881 0.139 0.726